(1)
First-principles (PBE) data for crystalline LiHf2F at its relaxed geometry, as listed in Alexandria via LeMat-Bulk.

Total magnetic moment: 0.00 μB per formula unit
SG: I-42d
Formation energy (no corrections): -1.1 kcal/mol of atoms
DFT total energy: -47.75 eV per cell

Cell lengths 7.083, 7.083, 7.083 Å; angles 137.69, 137.69, 61.37 degrees
Atoms (fractional coordinates):
Li  0.000  0.000  0.000
Li  0.750  0.250  0.500
Hf  0.222  0.625  0.097
Hf  0.375  0.472  0.597
Hf  0.528  0.125  0.903
Hf  0.875  0.778  0.403
F  0.250  0.750  0.500
F  0.500  0.500  0.000

=====

(2)
First-principles (PBE) data for crystalline TlCd2Au at its relaxed geometry, as listed in Alexandria via LeMat-Bulk.

Energy of formation: -0.0918 eV/atom
Total magnetic moment: 0.00 μB per formula unit
SG: P2_1/m
DFT total energy: -15.68 eV per cell

Cell lengths 4.243, 8.182, 5.991 Å; angles 90.00, 109.94, 90.00 degrees
Atoms (fractional coordinates):
Tl  0.058  0.250  0.120
Tl  0.942  0.750  0.880
Cd  0.366  0.043  0.730
Cd  0.366  0.457  0.730
Cd  0.634  0.543  0.270
Cd  0.634  0.957  0.270
Au  0.216  0.750  0.441
Au  0.784  0.250  0.559

=====

(3)
First-principles (PBE) data for crystalline FePdPt at its relaxed geometry, as listed in Alexandria via LeMat-Bulk.

Energy of formation: -0.0418 eV/atom
Total magnetic moment: 3.71 μB per formula unit
SG: C2/m
DFT total energy: -39.64 eV per cell

Cell lengths 4.782, 4.782, 4.632 Å; angles 91.68, 91.68, 57.36 degrees
Atoms (fractional coordinates):
Fe  0.091  0.091  0.223
Fe  0.909  0.909  0.777
Pd  0.422  0.422  0.238
Pd  0.578  0.578  0.762
Pt  0.243  0.243  0.718
Pt  0.757  0.757  0.282

=====

(4)
First-principles (PBE) data for crystalline ZrCd3Sb at its relaxed geometry, as listed in Alexandria via LeMat-Bulk.

Total magnetic moment: 0.35 μB per formula unit
SG: Pm-3m
Formation energy (no corrections): 21.0 kcal/mol of atoms
DFT total energy: -10.87 eV per cell

Cell lengths 5.543, 5.543, 5.543 Å; angles 90.00, 90.00, 90.00 degrees
Atoms (fractional coordinates):
Zr  0.000  0.000  0.000
Cd  0.000  0.000  0.500
Cd  0.000  0.500  0.000
Cd  0.500  0.000  0.000
Sb  0.500  0.500  0.500